No. 1
10
Lattice="3.274 0.000 -0.451 0.000 4.799 0.000 0.358 0.000 14.716" Properties=species:S:1:pos:R:3 comment="TmZrCd3, optimized geometry, DFT PBE" ef_ev_per_atom=-0.179 pbc="T T T"
Tm 3.331 3.599 12.075
Tm 0.302 1.200 2.190
Zr 0.886 3.599 6.433
Zr 2.747 1.200 7.832
Cd 2.132 3.599 3.367
Cd 1.501 1.200 10.898
Cd 1.736 3.599 0.492
Cd 1.896 1.200 13.773
Cd 2.342 1.200 4.895
Cd 1.290 3.599 9.370

No. 2
4
Lattice="-2.929 0.681 -1.973 -1.780 -2.589 1.749 -2.193 4.838 4.928" Properties=species:S:1:pos:R:3 comment="TmZrCd2, optimized geometry, DFT PBE" ef_ev_per_atom=-0.159 pbc="T T T"
Tm -3.451 1.465 2.353
Zr -2.355 -0.954 -0.112
Cd -1.668 3.679 3.748
Cd -0.525 1.159 1.180

No. 3
2
Lattice="-4.470 4.738 -0.375 -4.809 3.310 -2.913 -6.088 2.296 -0.478" Properties=species:S:1:pos:R:3 comment="UCd, optimized geometry, DFT PBE" ef_ev_per_atom=0.343 pbc="T T T"
U -10.579 7.121 -2.593
Cd -13.317 8.964 -3.263

No. 4
12
Lattice="-2.765 -1.082 -0.350 -0.571 4.456 -9.267 3.641 -9.593 0.885" Properties=species:S:1:pos:R:3 comment="UCd11, optimized geometry, DFT PBE" ef_ev_per_atom=0.050 pbc="T T T"
U 0.000 0.000 0.000
Cd -0.286 2.228 -4.633
Cd 1.820 -4.796 0.443
Cd 1.535 -2.568 -4.191
Cd -0.230 -3.070 -1.462
Cd -0.954 -0.658 -3.206
Cd -1.231 1.503 -7.698
Cd 1.535 -7.721 -1.033
Cd 1.258 -5.560 -5.526
Cd 0.535 -3.148 -7.269
Cd 0.833 -0.227 -5.883
Cd 2.237 -4.910 -2.499

No. 5
5
Lattice="-0.959 -5.422 1.050 5.121 -0.473 2.232 -2.070 1.341 5.034" Properties=species:S:1:pos:R:3 comment="U4Cd, optimized geometry, DFT PBE" ef_ev_per_atom=2.041 pbc="T T T"
U 0.000 0.000 0.000
U -1.514 -2.041 3.042
U 1.525 0.434 3.633
U 2.081 -2.948 1.641
Cd 1.046 -2.277 4.158

No. 6
4
Lattice="-3.297 -0.498 0.846 -0.489 -2.052 -3.112 2.223 -5.695 3.406" Properties=species:S:1:pos:R:3 comment="UCd, optimized geometry, DFT PBE" ef_ev_per_atom=0.126 pbc="T T T"
U 0.322 -4.953 -0.191
U -1.885 -3.292 1.331
Cd -0.993 -2.315 -1.723
Cd -0.570 -5.930 2.864

No. 7
4
Lattice="4.909 0.000 0.000 2.455 4.251 0.000 2.455 1.417 4.008" Properties=species:S:1:pos:R:3 comment="U3Cd, optimized geometry, DFT PBE" ef_ev_per_atom=0.488 pbc="T T T"
U 2.455 1.417 1.002
U 7.364 4.251 3.006
U 4.909 2.834 2.004
Cd 0.000 0.000 0.000

No. 8
5
Lattice="6.159 0.000 0.000 0.000 6.159 0.000 0.000 0.000 6.159" Properties=species:S:1:pos:R:3 comment="UCd4, optimized geometry, DFT PBE" ef_ev_per_atom=1.199 pbc="T T T"
U 3.080 3.080 3.080
Cd 0.000 0.000 0.000
Cd 3.080 0.000 3.080
Cd 0.000 3.080 3.080
Cd 3.080 3.080 0.000

No. 9
4
Lattice="4.843 0.000 0.000 2.421 4.194 0.000 2.421 1.398 3.955" Properties=species:S:1:pos:R:3 comment="UZn2Cd, optimized geometry, DFT PBE" ef_ev_per_atom=0.158 pbc="T T T"
Zn 2.421 1.398 0.988
Zn 7.264 4.194 2.966
U 4.843 2.796 1.977
Cd 0.000 0.000 0.000

No. 10
19
Lattice="5.166 -4.559 -0.017 5.166 4.559 -0.017 1.165 0.000 6.790" Properties=species:S:1:pos:R:3 comment="U2Zn15Cd2, optimized geometry, DFT PBE" ef_ev_per_atom=-0.023 pbc="T T T"
U 3.960 0.000 2.328
U 7.536 0.000 4.429
Zn 2.583 2.279 -0.008
Zn 0.582 0.000 3.395
Zn 2.583 -2.279 -0.008
Zn 3.953 -3.177 2.046
Zn 5.166 1.795 -0.017
Zn 2.377 1.382 4.727
Zn 5.166 -1.795 -0.017
Zn 3.953 3.177 2.046
Zn 2.377 -1.382 4.727
Zn 4.938 -2.188 4.368
Zn 6.859 0.000 1.101
Zn 4.938 2.188 4.368
Zn 6.558 2.188 2.389
Zn 4.637 0.000 5.656
Zn 6.558 -2.188 2.389
Cd 1.215 0.000 0.714
Cd 10.281 0.000 6.043

No. 11
12
Lattice="5.124 0.000 1.525 2.335 4.561 1.525 0.124 0.076 8.954" Properties=species:S:1:pos:R:3 comment="UZn9Cd2, optimized geometry, DFT PBE" ef_ev_per_atom=0.041 pbc="T T T"
U 0.000 0.000 0.000
Zn 5.098 3.117 10.982
Zn 2.484 1.519 1.022
Zn 3.791 2.318 6.002
Zn 3.114 1.904 3.536
Zn 5.707 1.904 4.307
Zn 4.295 4.212 4.307
Zn 4.468 2.732 8.468
Zn 3.287 0.424 7.696
Zn 1.876 2.732 7.696
Cd 6.487 3.967 6.312
Cd 1.095 0.669 5.692

No. 12
4
Lattice="-1.483 -2.249 -0.816 1.537 -1.631 1.704 -6.059 1.493 6.895" Properties=species:S:1:pos:R:3 comment="UZn2Cd, optimized geometry, DFT PBE" ef_ev_per_atom=0.086 pbc="T T T"
Zn -4.583 1.130 5.215
Zn -1.476 0.364 1.679
U -3.003 -1.194 3.891
Cd 0.027 -1.940 0.444

No. 13
19
Lattice="-5.867 3.276 -1.279 -4.211 -5.211 1.382 -1.433 1.745 6.457" Properties=species:S:1:pos:R:3 comment="U2Zn16Cd, optimized geometry, DFT PBE" ef_ev_per_atom=-0.037 pbc="T T T"
U -7.567 -0.124 4.313
U -3.901 -0.064 2.223
Zn -8.742 -2.393 2.429
Zn -8.133 2.929 3.653
Zn -6.140 -0.914 7.037
Zn -9.240 0.156 1.630
Zn -6.801 2.469 5.976
Zn -6.975 -3.004 5.513
Zn -6.100 -2.596 2.983
Zn -6.904 1.523 1.691
Zn -4.751 0.780 5.446
Zn -5.395 2.384 3.565
Zn -4.598 -1.698 4.845
Zn -6.732 -0.961 1.124
Zn -2.097 -2.549 0.698
Zn -2.908 1.602 -0.604
Zn -0.739 0.853 3.180
Zn -1.254 -0.021 0.715
Cd -10.376 -0.171 5.914

No. 14
4
Lattice="5.022 0.000 0.000 2.511 4.349 0.000 2.511 1.450 4.100" Properties=species:S:1:pos:R:3 comment="Zr2UCd, optimized geometry, DFT PBE" ef_ev_per_atom=0.309 pbc="T T T"
U 0.000 0.000 0.000
Zr 2.511 1.450 1.025
Zr 7.533 4.349 3.076
Cd 5.022 2.899 2.050

No. 15
4
Lattice="-1.028 -2.316 -2.535 -0.062 -2.633 2.431 -6.594 1.424 1.373" Properties=species:S:1:pos:R:3 comment="Zr2UCd, optimized geometry, DFT PBE" ef_ev_per_atom=0.177 pbc="T T T"
U -0.545 -2.475 -0.052
Zr -5.053 1.091 1.052
Zr -1.541 0.333 0.321
Cd -3.842 -1.763 0.635

No. 16
4
Lattice="-3.696 -0.320 1.472 -1.117 -3.029 -3.464 1.395 -3.620 2.716" Properties=species:S:1:pos:R:3 comment="Zr2UCd, optimized geometry, DFT PBE" ef_ev_per_atom=0.178 pbc="T T T"
U -1.709 -3.484 0.362
Zr 0.697 -1.810 1.358
Zr -0.559 -1.515 -1.732
Cd -1.848 -0.160 0.736

No. 17
80
Lattice="-6.946 -1.694 -12.575 9.714 -10.597 1.608 -9.525 -0.499 10.876" Properties=species:S:1:pos:R:3 comment="Zr12U3Cd5, optimized geometry, DFT PBE" ef_ev_per_atom=0.916 pbc="T T T"
U -2.758 -5.307 -7.469
U 0.017 -9.493 -8.438
U -1.273 -8.895 3.288
U -4.094 -1.935 1.136
U -7.245 -2.932 -8.083
U 1.085 -7.383 -0.992
U -7.843 -5.407 0.900
U 0.488 -9.858 7.992
U -2.663 -10.855 -1.227
U -5.485 -3.895 -3.379
U -6.774 -3.297 8.346
U -4.000 -7.483 7.378
Cd 0.393 -4.310 1.750
Cd 4.857 -5.299 0.804
Cd 0.000 0.000 0.000
Cd -1.367 -3.347 -2.954
Cd -8.236 -1.096 -0.850
Cd 1.384 -6.146 -5.483
Cd 2.845 -8.347 3.713
Cd -12.330 -3.031 0.286
Cd -2.710 -8.081 -4.348
Cd -8.535 -2.334 3.642
Cd 1.777 -10.456 -3.733
Cd -3.379 -6.395 -0.046
Cd -3.473 -0.847 -6.288
Cd -4.763 -0.249 5.438
Cd -4.047 -4.709 4.257
Cd 5.573 -9.759 -0.377
Cd 0.094 -5.548 6.242
Cd -9.603 -4.443 -3.804
Cd -5.390 -9.443 2.863
Cd -7.151 -8.480 -1.841
Zr -4.450 -2.760 -8.181
Zr -0.935 -6.889 1.361
Zr -5.467 -5.518 -8.152
Zr -3.059 -3.515 -5.336
Zr -3.271 -9.104 0.875
Zr -2.448 -7.631 -9.003
Zr 1.203 -8.907 1.357
Zr 7.025 -9.785 2.163
Zr -1.207 -11.088 1.545
Zr -0.835 -7.611 -6.544
Zr -4.629 -5.983 -5.040
Zr 2.525 -11.374 -8.265
Zr 0.676 -8.294 5.676
Zr 0.834 -5.270 -2.814
Zr 5.003 -10.249 4.247
Zr -6.846 -2.450 1.255
Zr -1.334 -1.952 1.615
Zr 2.825 -7.728 -3.582
Zr 0.418 -11.165 -6.225
Zr 2.361 -4.576 -0.399
Zr -0.820 -10.796 5.296
Zr -1.581 -7.938 -1.652
Zr -3.797 -10.791 -4.154
Zr -10.641 -5.372 0.766
Zr -5.177 -4.852 1.561
Zr -2.961 -1.999 4.063
Zr 3.884 -7.418 -0.857
Zr -7.175 -1.625 6.134
Zr -5.937 -1.994 -5.387
Zr -9.119 -8.214 0.307
Zr -9.583 -5.062 3.491
Zr 0.088 -10.340 -1.346
Zr -5.424 -10.838 -1.706
Zr -11.761 -2.541 -4.338
Zr -7.433 -4.496 -5.767
Zr -9.282 -1.416 8.174
Zr -7.592 -7.520 2.722
Zr -5.550 -1.702 -1.637
Zr -5.922 -5.179 6.453
Zr -2.128 -6.807 4.949
Zr -13.783 -3.005 -2.254
Zr -7.961 -3.883 -1.448
Zr -3.699 -9.275 5.245
Zr -4.310 -5.159 8.912
Zr -3.487 -3.686 -0.966
Zr -1.291 -7.272 8.061
Zr -5.823 -5.901 -1.452
Zr -2.307 -10.030 8.090

No. 18
4
Lattice="4.807 0.000 0.000 -2.404 4.163 0.000 0.000 0.000 5.565" Properties=species:S:1:pos:R:3 comment="VCd, optimized geometry, DFT PBE" ef_ev_per_atom=1.370 pbc="T T T"
V 0.000 2.776 1.391
V 2.404 1.388 4.173
Cd 0.000 2.776 4.173
Cd 2.404 1.388 1.391

No. 19
2
Lattice="-1.212 2.424 0.502 -1.247 -1.081 2.208 3.435 1.194 2.524" Properties=species:S:1:pos:R:3 comment="VCd, optimized geometry, DFT PBE" ef_ev_per_atom=0.383 pbc="T T T"
V -1.229 0.672 1.355
Cd 1.717 0.597 1.262

No. 20
32
Lattice="-4.129 -3.559 4.506 6.547 -4.183 2.696 1.671 7.340 7.330" Properties=species:S:1:pos:R:3 comment="VCd, optimized geometry, DFT PBE" ef_ev_per_atom=0.611 pbc="T T T"
V -1.514 -1.305 1.652
V -2.615 -2.254 2.853
V 1.681 -4.447 7.834
V 2.782 -3.498 6.633
V 2.595 0.273 6.665
V 1.494 -0.676 7.866
V -0.757 1.315 10.151
V 0.344 2.264 8.950
V -2.743 0.585 7.570
V 0.285 3.195 4.266
V 4.581 1.003 9.246
V 5.682 1.952 8.045
V -0.305 -5.177 5.253
V 2.723 -2.566 1.949
V 0.472 -0.575 4.234
V 1.573 0.374 3.032
Cd 5.420 -3.463 2.232
Cd 1.127 -0.720 0.464
Cd 5.423 -2.913 5.445
Cd 3.169 -1.472 4.517
Cd 2.982 2.298 4.549
Cd 5.236 0.858 5.477
Cd 2.985 2.849 7.762
Cd 0.731 4.289 6.834
Cd 4.191 -1.573 8.150
Cd -0.102 1.170 6.382
Cd 4.194 -1.023 11.363
Cd 1.940 0.418 10.435
Cd 0.082 -3.151 3.137
Cd 2.336 -4.592 4.065
Cd 0.085 -2.601 6.350
Cd -2.170 -1.160 5.422